DFT (meta-GGA SCAN) results for CeIn5Co at its PBEsol-relaxed geometry.

The structure in POSCAR format:
```
CeIn5Co
1.0
4.545 0.000 0.000
0.000 4.545 0.000
0.000 0.000 7.401
Ce In Co
1 5 1
direct
0.000 0.000 0.000
0.500 0.500 0.000
0.500 0.000 0.692
0.000 0.500 0.308
0.500 0.000 0.308
0.000 0.500 0.692
0.000 0.000 0.500
```

- magnetization (μB per atom) = 0.135
- DFT total energy (eV per cell) = -230.9
- space group = P4/mmm, No. 123